# 1
The following is a DFT calculation (PBE) of a geometry-optimized LuMnNbTc structure.

D(E_F)   3.71 states/eV/f.u.
VASP energy   -8.5472 eV/atom
Space-group type   F-43m, No. 216

a b c (Å): 4.5784 4.5784 4.5784
angles (deg): 60.00 60.00 60.00
With the nearest neighbours (Å) after each atom.
Sites, in units of the cell vectors:
Lu: 0.5000 0.5000 0.5000  4 Mn 2.80, 4 Tc 2.80
Nb: 0.0000 0.0000 0.0000  4 Mn 2.80, 4 Tc 2.80
Tc: 0.2500 0.2500 0.2500  4 Nb 2.80, 4 Lu 2.80
Mn: 0.7500 0.7500 0.7500  4 Nb 2.80, 4 Lu 2.80

# 2
The following is a DFT calculation (PBE) of a geometry-optimized Nd2LuMn structure.

D(E_F)   5.81 states/eV/f.u.
VASP energy   -5.6218 eV/atom
Space-group type   P4/mmm, No. 123

a b c (Å): 3.6290 3.6290 8.6909
angles (deg): 90.00 90.00 90.00
With the nearest neighbours (Å) after each atom.
Sites, in units of the cell vectors:
Lu: 0.5000 0.5000 0.0000  8 Nd 3.57, 4 Lu 3.63
Nd: 0.0000 0.0000 0.2858  4 Mn 3.17
Nd: 0.0000 0.0000 0.7142  4 Mn 3.17
Mn: 0.5000 0.5000 0.5000  8 Nd 3.17

# 3
The following is a DFT calculation (PBE) of a geometry-optimized NdLu3Mn structure.

D(E_F)   7.45 states/eV/f.u.
VASP energy   -5.3196 eV/atom
Space-group type   Pm-3m, No. 221

a b c (Å): 5.2245 5.2245 5.2245
angles (deg): 90.00 90.00 90.00
With the nearest neighbours (Å) after each atom.
Sites, in units of the cell vectors:
Lu: 0.0000 0.5000 0.0000  2 Mn 2.61
Nd: 0.5000 0.5000 0.5000  12 Lu 3.69
Lu: 0.0000 0.0000 0.5000  2 Mn 2.61
Lu: 0.5000 0.0000 0.0000  2 Mn 2.61
Mn: 0.0000 0.0000 0.0000  6 Lu 2.61

# 4
The following is a DFT calculation (PBE) of a geometry-optimized NdLuMn structure.

D(E_F)   4.77 states/eV/f.u.
VASP energy   -5.9747 eV/atom
Space-group type   I4mm, No. 107

a b c (Å): 3.5059 3.5059 6.8244
angles (deg): 104.88 104.88 90.00
With the nearest neighbours (Å) after each atom.
Sites, in units of the cell vectors:
Nd: 0.0251 0.0251 0.0501  4 Mn 3.11
Lu: 0.3017 0.3017 0.6035  4 Mn 2.97
Mn: 0.6732 0.6732 0.3464  4 Lu 2.97, 4 Nd 3.11

# 5
The following is a DFT calculation (PBE) of a geometry-optimized Lu2MnNi structure.

D(E_F)   4.01 states/eV/f.u.
VASP energy   -6.1643 eV/atom
Space-group type   P4/mmm, No. 123
Distance to the lowest polymorph of the same formula   0 meV/atom

a b c (Å): 3.3306 3.3306 6.8539
angles (deg): 90.00 90.00 90.00
With the nearest neighbours (Å) after each atom.
Sites, in units of the cell vectors:
Lu: 0.0000 0.0000 0.2385  4 Ni 2.87, 4 Mn 2.96
Ni: 0.5000 0.5000 0.0000  8 Lu 2.87
Lu: 0.0000 0.0000 0.7615  4 Ni 2.87, 4 Mn 2.96
Mn: 0.5000 0.5000 0.5000  8 Lu 2.96

# 6
The following is a DFT calculation (PBE) of a geometry-optimized Lu2MnNi structure.

D(E_F)   5.63 states/eV/f.u.
VASP energy   -6.0873 eV/atom
Space-group type   Fm-3m, No. 225
Distance to the lowest polymorph of the same formula   77 meV/atom

a b c (Å): 4.7699 4.7699 4.7699
angles (deg): 60.00 60.00 60.00
With the nearest neighbours (Å) after each atom.
Sites, in units of the cell vectors:
Lu: 0.7500 0.7500 0.7500  4 Mn 2.92, 4 Ni 2.92
Mn: 0.0000 0.0000 0.0000  8 Lu 2.92
Ni: 0.5000 0.5000 0.5000  8 Lu 2.92
Lu: 0.2500 0.2500 0.2500  4 Ni 2.92, 4 Mn 2.92

# 7
The following is a DFT calculation (PBE) of a geometry-optimized LuMnNiPd structure.

D(E_F)   2.86 states/eV/f.u.
VASP energy   -6.5409 eV/atom
Space-group type   F-43m, No. 216

a b c (Å): 4.5451 4.5451 4.5451
angles (deg): 60.00 60.00 60.00
With the nearest neighbours (Å) after each atom.
Sites, in units of the cell vectors:
Pd: 0.5000 0.5000 0.5000  4 Mn 2.78, 4 Lu 2.78
Mn: 0.2500 0.2500 0.2500  4 Ni 2.78, 4 Pd 2.78
Lu: 0.7500 0.7500 0.7500  4 Ni 2.78, 4 Pd 2.78
Ni: 0.0000 0.0000 0.0000  4 Lu 2.78, 4 Mn 2.78

# 8
The following is a DFT calculation (PBE) of a geometry-optimized LuMnNiPt structure.

D(E_F)   2.63 states/eV/f.u.
VASP energy   -6.8990 eV/atom
Space-group type   F-43m, No. 216

a b c (Å): 4.5481 4.5481 4.5481
angles (deg): 60.00 60.00 60.00
With the nearest neighbours (Å) after each atom.
Sites, in units of the cell vectors:
Pt: 0.7500 0.7500 0.7500  4 Mn 2.79, 4 Lu 2.79
Lu: 0.0000 0.0000 0.0000  4 Ni 2.79, 4 Pt 2.79
Mn: 0.5000 0.5000 0.5000  4 Ni 2.79, 4 Pt 2.79
Ni: 0.2500 0.2500 0.2500  4 Mn 2.79, 4 Lu 2.79

# 9
The following is a DFT calculation (PBE) of a geometry-optimized LuPuMnNi structure.

D(E_F)   8.66 states/eV/f.u.
VASP energy   -8.4832 eV/atom
Space-group type   F-43m, No. 216

a b c (Å): 4.7295 4.7295 4.7295
angles (deg): 60.00 60.00 60.00
With the nearest neighbours (Å) after each atom.
Sites, in units of the cell vectors:
Ni: 0.7500 0.7500 0.7500  4 Pu 2.90, 4 Lu 2.90
Lu: 0.5000 0.5000 0.5000  4 Ni 2.90, 4 Mn 2.90
Pu: 0.0000 0.0000 0.0000  4 Mn 2.90, 4 Ni 2.90
Mn: 0.2500 0.2500 0.2500  4 Lu 2.90, 4 Pu 2.90

# 10
The following is a DFT calculation (PBE) of a geometry-optimized LuMnNiRu structure.

D(E_F)   2.15 states/eV/f.u.
VASP energy   -7.3484 eV/atom
Space-group type   F-43m, No. 216

a b c (Å): 4.4489 4.4489 4.4489
angles (deg): 60.00 60.00 60.00
With the nearest neighbours (Å) after each atom.
Sites, in units of the cell vectors:
Lu: 0.7500 0.7500 0.7500  4 Ni 2.72, 4 Ru 2.72
Mn: 0.2500 0.2500 0.2500  4 Ru 2.72, 4 Ni 2.72
Ru: 0.0000 0.0000 0.0000  4 Mn 2.72, 4 Lu 2.72
Ni: 0.5000 0.5000 0.5000  4 Mn 2.72, 4 Lu 2.72

# 11
The following is a DFT calculation (PBE) of a geometry-optimized LuScMnNi structure.

D(E_F)   6.83 states/eV/f.u.
VASP energy   -6.5472 eV/atom
Space-group type   F-43m, No. 216

a b c (Å): 4.6695 4.6695 4.6695
angles (deg): 60.00 60.00 60.00
With the nearest neighbours (Å) after each atom.
Sites, in units of the cell vectors:
Lu: 0.0000 0.0000 0.0000  4 Mn 2.86, 4 Ni 2.86
Ni: 0.2500 0.2500 0.2500  4 Sc 2.86, 4 Lu 2.86
Mn: 0.7500 0.7500 0.7500  4 Sc 2.86, 4 Lu 2.86
Sc: 0.5000 0.5000 0.5000  4 Ni 2.86, 4 Mn 2.86

# 12
The following is a DFT calculation (PBE) of a geometry-optimized LuZrMnNi structure.

D(E_F)   3.58 states/eV/f.u.
VASP energy   -7.1161 eV/atom
Space-group type   F-43m, No. 216

a b c (Å): 4.5773 4.5773 4.5773
angles (deg): 60.00 60.00 60.00
With the nearest neighbours (Å) after each atom.
Sites, in units of the cell vectors:
Mn: 0.7500 0.7500 0.7500  4 Lu 2.80, 4 Zr 2.80
Lu: 0.0000 0.0000 0.0000  4 Ni 2.80, 4 Mn 2.80
Zr: 0.5000 0.5000 0.5000  4 Mn 2.80, 4 Ni 2.80
Ni: 0.2500 0.2500 0.2500  4 Zr 2.80, 4 Lu 2.80

# 13
The following is a DFT calculation (PBE) of a geometry-optimized LuNpMn4 structure.

D(E_F)   11.70 states/eV/f.u.
VASP energy   -8.8381 eV/atom
Space-group type   F-43m, No. 216

a b c (Å): 5.0160 5.0160 5.0160
angles (deg): 60.00 60.00 60.00
With the nearest neighbours (Å) after each atom.
Sites, in units of the cell vectors:
Mn: 0.6247 0.6247 0.6247  6 Mn 2.50-2.51
Mn: 0.1258 0.6247 0.6247  6 Mn 2.50-2.51
Mn: 0.6247 0.1258 0.6247  6 Mn 2.50-2.51
Np: 0.2500 0.2500 0.2500  12 Mn 2.94, 4 Lu 3.07
Mn: 0.6247 0.6247 0.1258  6 Mn 2.50-2.51
Lu: 0.0000 0.0000 0.0000  12 Mn 2.94, 4 Np 3.07